Entry 1:
CrFeSe2: optimized geometry, GGA-PBE.

Distance to the lowest polymorph of the same formula   0.4356 eV per atom
Formation energy without anion corrections   242 meV per atom
Raw total energy   -6.02 eV per atom

```
data_CrFeSe2
_chemical_formula_sum 'Cr3 Fe3 Se6'
_cell_length_a 3.0856
_cell_length_b 3.0856
_cell_length_c 23.2488
_cell_angle_alpha 90.00
_cell_angle_beta 90.00
_cell_angle_gamma 120.00
_symmetry_space_group_name_H-M 'R -3 m'
_symmetry_Int_Tables_number 166
_symmetry_space_group_name_Hall '-R 3 2"'
loop_
_atom_site_label
_atom_site_fract_x
_atom_site_fract_y
_atom_site_fract_z
Cr1 0.0000 0.0000 0.0000
Fe1 0.0000 0.0000 0.5000
Se1 0.0000 0.0000 0.4036
```



Entry 2:
In2TeIr: optimized geometry, GGA-PBE.

Formation energy without anion corrections   99 meV per atom
Raw total energy   -4.27 eV per atom

```
data_In2TeIr
_chemical_formula_sum 'In2 Te1 Ir1'
_cell_length_a 5.025
_cell_length_b 4.165
_cell_length_c 5.931
_cell_angle_alpha 90.00
_cell_angle_beta 114.95
_cell_angle_gamma 90.00
_symmetry_space_group_name_H-M 'P 1 2/m 1'
_symmetry_Int_Tables_number 10
loop_
_symmetry_equiv_pos_as_xyz
'x,y,z'
'-x,-y,-z'
'-x,y,-z'
'x,-y,z'
loop_
_atom_site_label
_atom_site_fract_x
_atom_site_fract_y
_atom_site_fract_z
In1 0.169 0.000 0.338
Te1 0.500 0.500 0.000
Ir1 0.000 0.500 0.000
```



Entry 3:
Er2ZnGa3Ni4: optimized geometry, GGA-PBE.

Raw total energy   -4.78 eV per atom
Calculated formation energy   -0.52 eV per atom

```
data_Er2ZnGa3Ni4
_chemical_formula_sum 'Er2 Zn1 Ga3 Ni4'
_cell_length_a 3.850
_cell_length_b 3.850
_cell_length_c 10.835
_cell_angle_alpha 90.00
_cell_angle_beta 90.00
_cell_angle_gamma 90.00
_symmetry_space_group_name_H-M 'P -4 m 2'
_symmetry_Int_Tables_number 115
loop_
_symmetry_equiv_pos_as_xyz
'x,y,z'
'y,-x,-z'
'-x,-y,z'
'-y,x,-z'
'-x,y,z'
'-y,-x,-z'
'x,-y,z'
'y,x,-z'
loop_
_atom_site_label
_atom_site_fract_x
_atom_site_fract_y
_atom_site_fract_z
Er1 0.000 0.500 0.242
Zn1 0.500 0.500 0.000
Ga1 0.000 0.000 0.000
Ga2 0.000 0.500 0.632
Ni1 0.000 0.000 0.500
Ni2 0.000 0.500 0.853
Ni3 0.500 0.500 0.500
```



Entry 4:
TcGe3Rh: optimized geometry, GGA-PBE.

Distance to the lowest polymorph of the same formula   0.8886 eV per atom
Raw total energy   -5.64 eV per atom
Calculated formation energy   0.67 eV per atom

```
data_TcGe3Rh
_chemical_formula_sum 'Tc1 Ge3 Rh1'
_cell_length_a 4.727
_cell_length_b 4.727
_cell_length_c 4.727
_cell_angle_alpha 90.00
_cell_angle_beta 90.00
_cell_angle_gamma 90.00
_symmetry_space_group_name_H-M 'P m -3 m'
_symmetry_Int_Tables_number 221
_symmetry_space_group_name_Hall '-P 4 2 3'
loop_
_atom_site_label
_atom_site_fract_x
_atom_site_fract_y
_atom_site_fract_z
Tc1 0.000 0.000 0.000
Ge1 0.000 0.000 0.500
Rh1 0.500 0.500 0.500
```



Entry 5:
Ho4NpS5: optimized geometry, GGA-PBE.

Formation energy without anion corrections   -1862 meV per atom
Raw total energy   -7.05 eV per atom

```
data_Ho4NpS5
_chemical_formula_sum 'Ho8 Np2 S10'
_cell_length_a 3.885
_cell_length_b 3.885
_cell_length_c 27.534
_cell_angle_alpha 90.00
_cell_angle_beta 90.00
_cell_angle_gamma 90.00
_symmetry_space_group_name_H-M 'I 4/m m m'
_symmetry_Int_Tables_number 139
_symmetry_space_group_name_Hall '-I 4 2'
loop_
_atom_site_label
_atom_site_fract_x
_atom_site_fract_y
_atom_site_fract_z
Ho1 0.000 0.000 0.099
Ho2 0.000 0.000 0.300
Np1 0.000 0.000 0.500
S1 0.000 0.000 0.000
S2 0.000 0.000 0.200
S3 0.000 0.000 0.399
```



Entry 6:
TbEr2Pt: optimized geometry, GGA-PBE.

Distance to the lowest polymorph of the same formula   0.0373 eV per atom
Raw total energy   -5.64 eV per atom
Calculated formation energy   -0.69 eV per atom

```
data_TbEr2Pt
_chemical_formula_sum 'Tb4 Er8 Pt4'
_cell_length_a 3.775
_cell_length_b 12.160
_cell_length_c 9.268
_cell_angle_alpha 90.00
_cell_angle_beta 90.00
_cell_angle_gamma 90.00
_symmetry_space_group_name_H-M 'C m c m'
_symmetry_Int_Tables_number 63
_symmetry_space_group_name_Hall '-C 2c 2'
loop_
_atom_site_label
_atom_site_fract_x
_atom_site_fract_y
_atom_site_fract_z
Tb1 0.000 0.067 0.250
Er1 0.000 0.363 0.063
Pt1 0.000 0.241 0.750
```



Entry 7:
Tb3PmTm5: optimized geometry, GGA-PBE.

Distance to the lowest polymorph of the same formula   0.0000 eV per atom
Raw total energy   -4.22 eV per atom
Calculated formation energy   0.33 eV per atom

```
data_Tb3PmTm5
_chemical_formula_sum 'Tb12 Pm4 Tm20'
_cell_length_a 17.168
_cell_length_b 6.134
_cell_length_c 11.186
_cell_angle_alpha 90.00
_cell_angle_beta 91.64
_cell_angle_gamma 90.00
_symmetry_space_group_name_H-M 'C 1 2/c 1'
_symmetry_Int_Tables_number 15
loop_
_symmetry_equiv_pos_as_xyz
'x,y,z'
'-x,-y,-z'
'-x,y,-z+1/2'
'x,-y,z+1/2'
'x+1/2,y+1/2,z'
'-x+1/2,-y+1/2,-z'
'-x+1/2,y+1/2,-z+1/2'
'x+1/2,-y+1/2,z+1/2'
loop_
_atom_site_label
_atom_site_fract_x
_atom_site_fract_y
_atom_site_fract_z
Tb1 0.000 0.000 0.000
Tb2 0.166 0.284 0.085
Pm1 0.000 0.119 0.250
Tm1 0.000 0.407 0.750
Tm2 0.167 0.271 0.410
Tm3 0.171 0.202 0.745
```



Entry 8:
ZrCdBi2O6: optimized geometry, GGA-PBE.

Formation energy without anion corrections   -1799 meV per atom
Raw total energy   -6.50 eV per atom

```
data_ZrCdBi2O6
_chemical_formula_sum 'Zr3 Cd3 Bi6 O18'
_cell_length_a 5.9286
_cell_length_b 5.9286
_cell_length_c 15.1017
_cell_angle_alpha 90.00
_cell_angle_beta 90.00
_cell_angle_gamma 120.00
_symmetry_space_group_name_H-M 'R 3'
_symmetry_Int_Tables_number 146
_symmetry_space_group_name_Hall 'R 3'
loop_
_atom_site_label
_atom_site_fract_x
_atom_site_fract_y
_atom_site_fract_z
Zr1 0.0000 0.0000 0.0000
Cd1 0.0000 0.0000 0.4919
Bi1 0.0000 0.0000 0.2125
Bi2 0.0000 0.0000 0.7126
O1 0.0114 0.6081 0.2754
O2 0.0219 0.2797 0.1038
```



Entry 9:
LiTi5Zn6: optimized geometry, GGA-PBE.

Raw total energy   -4.24 eV per atom
Calculated formation energy   -0.16 eV per atom

```
data_LiTi5Zn6
_chemical_formula_sum 'Li2 Ti10 Zn12'
_cell_length_a 13.788
_cell_length_b 6.437
_cell_length_c 4.366
_cell_angle_alpha 90.00
_cell_angle_beta 108.31
_cell_angle_gamma 90.00
_symmetry_space_group_name_H-M 'C 1 2/m 1'
_symmetry_Int_Tables_number 12
loop_
_symmetry_equiv_pos_as_xyz
'x,y,z'
'-x,-y,-z'
'-x,y,-z'
'x,-y,z'
'x+1/2,y+1/2,z'
'-x+1/2,-y+1/2,-z'
'-x+1/2,y+1/2,-z'
'x+1/2,-y+1/2,z'
loop_
_atom_site_label
_atom_site_fract_x
_atom_site_fract_y
_atom_site_fract_z
Li1 0.000 0.000 0.000
Ti1 0.000 0.500 0.000
Ti2 0.162 0.500 0.661
Ti3 0.176 0.000 0.675
Zn1 0.000 0.225 0.500
Zn2 0.161 0.236 0.160
```



Entry 10:
PmTlZn4: optimized geometry, GGA-PBE.

Raw total energy   -2.15 eV per atom
Calculated formation energy   -0.11 eV per atom

```
data_PmTlZn4
_chemical_formula_sum 'Pm4 Tl4 Zn16'
_cell_length_a 7.871
_cell_length_b 7.871
_cell_length_c 7.871
_cell_angle_alpha 90.00
_cell_angle_beta 90.00
_cell_angle_gamma 90.00
_symmetry_space_group_name_H-M 'F -4 3 m'
_symmetry_Int_Tables_number 216
_symmetry_space_group_name_Hall 'F -4 2 3'
loop_
_atom_site_label
_atom_site_fract_x
_atom_site_fract_y
_atom_site_fract_z
Pm1 0.000 0.000 0.000
Tl1 0.250 0.250 0.750
Zn1 0.126 0.126 0.374
```



Entry 11:
CaTaSe2: optimized geometry, GGA-PBE.

Distance to the lowest polymorph of the same formula   1.2249 eV per atom
Formation energy without anion corrections   354 meV per atom
Raw total energy   -4.85 eV per atom

```
data_CaTaSe2
_chemical_formula_sum 'Ca4 Ta4 Se8'
_cell_length_a 7.037
_cell_length_b 7.037
_cell_length_c 7.037
_cell_angle_alpha 90.00
_cell_angle_beta 90.00
_cell_angle_gamma 90.00
_symmetry_space_group_name_H-M 'F -4 3 m'
_symmetry_Int_Tables_number 216
_symmetry_space_group_name_Hall 'F -4 2 3'
loop_
_atom_site_label
_atom_site_fract_x
_atom_site_fract_y
_atom_site_fract_z
Ca1 0.000 0.000 0.000
Ta1 0.250 0.250 0.250
Se1 0.000 0.000 0.500
Se2 0.250 0.250 0.750
```



Entry 12:
BeBiTe2N: optimized geometry, GGA-PBE.

Distance to the lowest polymorph of the same formula   1.1326 eV per atom
Formation energy without anion corrections   1493 meV per atom
Raw total energy   -2.95 eV per atom

```
data_BeBiTe2N
_chemical_formula_sum 'Be1 Bi1 Te2 N1'
_cell_length_a 5.933
_cell_length_b 5.933
_cell_length_c 4.321
_cell_angle_alpha 90.00
_cell_angle_beta 90.00
_cell_angle_gamma 90.00
_symmetry_space_group_name_H-M 'P 4/m m m'
_symmetry_Int_Tables_number 123
_symmetry_space_group_name_Hall '-P 4 2'
loop_
_atom_site_label
_atom_site_fract_x
_atom_site_fract_y
_atom_site_fract_z
Be1 0.000 0.000 0.000
Bi1 0.500 0.500 0.500
Te1 0.000 0.500 0.500
N1 0.500 0.500 0.000
```



Entry 13:
VGe2W: optimized geometry, GGA-PBE.

Raw total energy   -7.62 eV per atom
Calculated formation energy   0.20 eV per atom

```
data_VGe2W
_chemical_formula_sum 'V1 Ge2 W1'
_cell_length_a 3.109
_cell_length_b 3.109
_cell_length_c 6.183
_cell_angle_alpha 90.00
_cell_angle_beta 90.00
_cell_angle_gamma 90.00
_symmetry_space_group_name_H-M 'P 4/m m m'
_symmetry_Int_Tables_number 123
_symmetry_space_group_name_Hall '-P 4 2'
loop_
_atom_site_label
_atom_site_fract_x
_atom_site_fract_y
_atom_site_fract_z
V1 0.000 0.000 0.000
Ge1 0.500 0.500 0.246
W1 0.000 0.000 0.500
```



Entry 14:
Pm5Y2HoTh: optimized geometry, GGA-PBE.

Raw total energy   -5.26 eV per atom
Calculated formation energy   0.15 eV per atom

```
data_Pm5Y2HoTh
_chemical_formula_sum 'Pm20 Y8 Ho4 Th4'
_cell_length_a 5.658
_cell_length_b 20.464
_cell_length_c 10.608
_cell_angle_alpha 90.00
_cell_angle_beta 90.00
_cell_angle_gamma 90.00
_symmetry_space_group_name_H-M 'C m c 21'
_symmetry_Int_Tables_number 36
loop_
_symmetry_equiv_pos_as_xyz
'x,y,z'
'-x,-y,z+1/2'
'-x,y,z'
'x,-y,z+1/2'
'x+1/2,y+1/2,z'
'-x+1/2,-y+1/2,z+1/2'
'-x+1/2,y+1/2,z'
'x+1/2,-y+1/2,z+1/2'
loop_
_atom_site_label
_atom_site_fract_x
_atom_site_fract_y
_atom_site_fract_z
Pm1 0.000 0.015 0.000
Pm2 0.000 0.278 0.291
Pm3 0.000 0.293 0.683
Pm4 0.000 0.389 0.005
Pm5 0.000 0.481 0.725
Y1 0.000 0.112 0.717
Y2 0.000 0.116 0.293
Ho1 0.000 0.406 0.439
Th1 0.000 0.201 0.991
```



Entry 15:
Pm3YIn3: optimized geometry, GGA-PBE.

Distance to the lowest polymorph of the same formula   0.1319 eV per atom
Raw total energy   -4.34 eV per atom
Calculated formation energy   -0.21 eV per atom

```
data_Pm3YIn3
_chemical_formula_sum 'Pm6 Y2 In6'
_cell_length_a 9.2639
_cell_length_b 9.2639
_cell_length_c 5.5516
_cell_angle_alpha 90.00
_cell_angle_beta 90.00
_cell_angle_gamma 120.00
_symmetry_space_group_name_H-M 'P 63/m'
_symmetry_Int_Tables_number 176
_symmetry_space_group_name_Hall '-P 6c'
loop_
_atom_site_label
_atom_site_fract_x
_atom_site_fract_y
_atom_site_fract_z
Pm1 0.0938 0.6428 0.2500
Y1 0.3333 0.6667 0.7500
In1 0.0483 0.8180 0.7500
```



Entry 16:
TmMg4Cu5: optimized geometry, GGA-PBE.

Raw total energy   -3.26 eV per atom
Calculated formation energy   -0.12 eV per atom

```
data_TmMg4Cu5
_chemical_formula_sum 'Tm1 Mg4 Cu5'
_cell_length_a 3.240
_cell_length_b 3.240
_cell_length_c 15.803
_cell_angle_alpha 90.00
_cell_angle_beta 90.00
_cell_angle_gamma 90.00
_symmetry_space_group_name_H-M 'P 4/m m m'
_symmetry_Int_Tables_number 123
_symmetry_space_group_name_Hall '-P 4 2'
loop_
_atom_site_label
_atom_site_fract_x
_atom_site_fract_y
_atom_site_fract_z
Tm1 0.000 0.000 0.000
Mg1 0.000 0.000 0.211
Mg2 0.000 0.000 0.404
Cu1 0.500 0.500 0.115
Cu2 0.500 0.500 0.308
Cu3 0.500 0.500 0.500
```



Entry 17:
InCu2Ru: optimized geometry, GGA-PBE.

Raw total energy   -4.86 eV per atom
Calculated formation energy   0.19 eV per atom

```
data_InCu2Ru
_chemical_formula_sum 'In2 Cu4 Ru2'
_cell_length_a 9.086
_cell_length_b 2.975
_cell_length_c 4.606
_cell_angle_alpha 90.00
_cell_angle_beta 103.59
_cell_angle_gamma 90.00
_symmetry_space_group_name_H-M 'C 1 2/m 1'
_symmetry_Int_Tables_number 12
loop_
_symmetry_equiv_pos_as_xyz
'x,y,z'
'-x,-y,-z'
'-x,y,-z'
'x,-y,z'
'x+1/2,y+1/2,z'
'-x+1/2,-y+1/2,-z'
'-x+1/2,y+1/2,-z'
'x+1/2,-y+1/2,z'
loop_
_atom_site_label
_atom_site_fract_x
_atom_site_fract_y
_atom_site_fract_z
In1 0.000 0.000 0.000
Cu1 0.242 0.000 0.722
Ru1 0.000 0.500 0.500
```



Entry 18:
Ba2ZrCu: optimized geometry, GGA-PBE.

Distance to the lowest polymorph of the same formula   0.0784 eV per atom
Raw total energy   -3.78 eV per atom
Calculated formation energy   0.34 eV per atom

```
data_Ba2ZrCu
_chemical_formula_sum 'Ba4 Zr2 Cu2'
_cell_length_a 3.663
_cell_length_b 4.121
_cell_length_c 19.134
_cell_angle_alpha 90.00
_cell_angle_beta 90.00
_cell_angle_gamma 90.00
_symmetry_space_group_name_H-M 'I m m m'
_symmetry_Int_Tables_number 71
_symmetry_space_group_name_Hall '-I 2 2'
loop_
_atom_site_label
_atom_site_fract_x
_atom_site_fract_y
_atom_site_fract_z
Ba1 0.000 0.000 0.151
Zr1 0.000 0.500 0.000
Cu1 0.000 0.500 0.500
```



Entry 19:
LiCa2Mo: optimized geometry, GGA-PBE.

Distance to the lowest polymorph of the same formula   0.2014 eV per atom
Raw total energy   -3.42 eV per atom
Calculated formation energy   0.77 eV per atom

```
data_LiCa2Mo
_chemical_formula_sum 'Li4 Ca8 Mo4'
_cell_length_a 7.468
_cell_length_b 7.468
_cell_length_c 7.468
_cell_angle_alpha 90.00
_cell_angle_beta 90.00
_cell_angle_gamma 90.00
_symmetry_space_group_name_H-M 'F -4 3 m'
_symmetry_Int_Tables_number 216
_symmetry_space_group_name_Hall 'F -4 2 3'
loop_
_atom_site_label
_atom_site_fract_x
_atom_site_fract_y
_atom_site_fract_z
Li1 0.000 0.000 0.000
Ca1 0.000 0.000 0.500
Ca2 0.250 0.250 0.750
Mo1 0.250 0.250 0.250
```



Entry 20:
Pm2Ga4CuRu3: optimized geometry, GGA-PBE.

Raw total energy   -5.76 eV per atom
Calculated formation energy   -0.40 eV per atom

```
data_Pm2Ga4CuRu3
_chemical_formula_sum 'Pm2 Ga4 Cu1 Ru3'
_cell_length_a 4.100
_cell_length_b 4.100
_cell_length_c 10.939
_cell_angle_alpha 90.00
_cell_angle_beta 90.00
_cell_angle_gamma 90.00
_symmetry_space_group_name_H-M 'P -4 m 2'
_symmetry_Int_Tables_number 115
loop_
_symmetry_equiv_pos_as_xyz
'x,y,z'
'y,-x,-z'
'-x,-y,z'
'-y,x,-z'
'-x,y,z'
'-y,-x,-z'
'x,-y,z'
'y,x,-z'
loop_
_atom_site_label
_atom_site_fract_x
_atom_site_fract_y
_atom_site_fract_z
Pm1 0.000 0.500 0.244
Ga1 0.000 0.000 0.000
Ga2 0.000 0.500 0.630
Ga3 0.500 0.500 0.000
Cu1 0.000 0.000 0.500
Ru1 0.000 0.500 0.861
Ru2 0.500 0.500 0.500
```